{"formula": "NaPaMo2O8", "functional": "PBE+U", "state": "relaxed", "energy_ev_per_cell": -90.81, "magnetic_moment_mub_per_cell": 2.000, "lattice": [[-2.6212, 2.6212, 5.7018], [2.6212, -2.6212, 5.7018], [2.6212, 2.6212, -5.7018]], "species": ["Na", "Pa", "Mo", "Mo", "O", "O", "O", "O", "O", "O", "O", "O"], "frac_coords": [[0.0000, 0.0000, 0.0000], [0.2500, 0.7500, 0.5000], [0.5000, 0.5000, 0.0000], [0.7500, 0.2500, 0.5000], [0.0301, 0.0572, 0.4325], [0.2283, 0.6340, 0.0387], [0.3660, 0.4046, 0.5942], [0.4024, 0.9699, 0.0271], [0.5954, 0.1896, 0.9613], [0.6247, 0.5976, 0.5675], [0.8104, 0.7717, 0.4058], [0.9428, 0.3753, 0.9729]]}